No. 1
The following is a DFT calculation (PBE) of an optimized crystal structure of KRe2As.

a b c (Å): 2.681 2.681 10.432
angles (deg): 90.00 90.00 90.00
Fractional coordinates of all 4 atoms:
As (0.500, 0.500, 0.250)
K (0.500, 0.500, 0.750)
Re (0.000, 0.000, 0.033)
Re (0.000, 0.000, 0.467)

Computed properties:
Energy of formation from the pure elements ... 1.295 eV per atom
Symmetry ... No. 123

No. 2
The following is a DFT calculation (PBE) of an optimized crystal structure of K2ReAs.

a b c (Å): 2.804 2.804 11.207
angles (deg): 90.00 90.00 90.00
Fractional coordinates of all 4 atoms:
As (0.500, 0.500, 0.750)
K (0.000, 0.000, 0.991)
K (0.000, 0.000, 0.509)
Re (0.500, 0.500, 0.250)

Computed properties:
Energy of formation from the pure elements ... 0.816 eV per atom
Symmetry ... No. 123

No. 3
The following is a DFT calculation (PBE) of an optimized crystal structure of K6ReAs4.

a b c (Å): 8.116 10.393 10.393
angles (deg): 120.00 90.00 90.00
Fractional coordinates of all 22 atoms:
K (0.455, 0.718, 0.859)
K (0.455, 0.141, 0.282)
K (0.455, 0.141, 0.859)
K (0.955, 0.282, 0.141)
K (0.955, 0.859, 0.718)
K (0.955, 0.859, 0.141)
K (0.637, 0.938, 0.469)
K (0.637, 0.531, 0.062)
K (0.637, 0.531, 0.469)
K (0.137, 0.062, 0.531)
K (0.137, 0.469, 0.938)
K (0.137, 0.469, 0.531)
Re (0.745, 0.333, 0.667)
Re (0.245, 0.667, 0.333)
As (0.450, 0.333, 0.667)
As (0.950, 0.667, 0.333)
As (0.840, 0.585, 0.792)
As (0.840, 0.208, 0.415)
As (0.840, 0.208, 0.792)
As (0.340, 0.415, 0.208)
As (0.340, 0.792, 0.585)
As (0.340, 0.792, 0.208)

Computed properties:
Energy of formation from the pure elements ... -0.365 eV per atom
Symmetry ... No. 186

No. 4
The following is a DFT calculation (PBE) of an optimized crystal structure of K2ReAs.

a b c (Å): 4.243 2.848 10.072
angles (deg): 86.24 90.00 90.00
Fractional coordinates of all 4 atoms:
As (0.500, 0.603, 0.693)
K (0.000, 0.058, 0.903)
K (0.500, 0.196, 0.333)
Re (0.000, 0.643, 0.571)

Computed properties:
Energy of formation from the pure elements ... 0.634 eV per atom
Symmetry ... No. 6

No. 5
The following is a DFT calculation (PBE) of an optimized crystal structure of K2Re2As.

a b c (Å): 3.485 3.485 11.585
angles (deg): 81.35 81.35 90.00
Fractional coordinates of all 5 atoms:
Re (0.750, 0.250, 0.500)
Re (0.250, 0.750, 0.500)
As (0.000, 0.000, 0.000)
K (0.395, 0.395, 0.211)
K (0.605, 0.605, 0.789)

Computed properties:
Energy of formation from the pure elements ... 0.702 eV per atom
Symmetry ... No. 139

No. 6
The following is a DFT calculation (PBE) of an optimized crystal structure of K3ReAs.

a b c (Å): 6.347 6.347 6.347
angles (deg): 90.00 90.00 90.00
Last column: magnetic moment on the atom in μB.
Fractional coordinates of all 5 atoms:
Re (0.500, 0.500, 0.500)  3.78
As (0.000, 0.000, 0.000)  0.18
K (0.000, 0.500, 0.000)  0.00
K (0.000, 0.000, 0.500)  0.01
K (0.500, 0.000, 0.000)  0.00

Computed properties:
Energy of formation from the pure elements ... 1.192 eV per atom
Symmetry ... No. 221

No. 7
The following is a DFT calculation (PBE) of an optimized crystal structure of K2ReAs.

a b c (Å): 6.239 6.239 6.239
angles (deg): 141.48 141.49 55.61
Last column: magnetic moment on the atom in μB.
Fractional coordinates of all 4 atoms:
As (0.250, 0.750, 0.500)  0.01
K (0.000, 0.000, 0.000)  0.01
K (0.500, 0.500, 0.000)  0.01
Re (0.750, 0.250, 0.500)  2.21

Computed properties:
Energy of formation from the pure elements ... 1.040 eV per atom
Symmetry ... No. 139

No. 8
The following is a DFT calculation (PBE) of an optimized crystal structure of KRe2As.

a b c (Å): 9.937 9.937 9.937
angles (deg): 17.02 17.02 17.02
Fractional coordinates of all 4 atoms:
As (0.250, 0.250, 0.250)
K (0.750, 0.750, 0.750)
Re (0.981, 0.981, 0.981)
Re (0.519, 0.519, 0.519)

Computed properties:
Energy of formation from the pure elements ... 0.880 eV per atom
Symmetry ... No. 166

No. 9
The following is a DFT calculation (PBE) of an optimized crystal structure of KRe2As.

a b c (Å): 6.055 6.055 2.568
angles (deg): 90.00 90.00 126.04
Fractional coordinates of all 4 atoms:
As (0.500, 0.000, 0.500)
K (0.000, 0.500, 0.500)
Re (0.000, 0.000, 0.000)
Re (0.500, 0.500, 0.000)

Computed properties:
Energy of formation from the pure elements ... 1.418 eV per atom
Symmetry ... No. 65

No. 10
The following is a DFT calculation (PBE) of an optimized crystal structure of K2ReAs.

a b c (Å): 3.362 3.362 10.281
angles (deg): 90.00 90.00 90.00
Last column: magnetic moment on the atom in μB.
Fractional coordinates of all 4 atoms:
As (0.500, 0.500, 0.671)  0.00
K (0.000, 0.000, 0.912)  0.00
K (0.500, 0.500, 0.335)  0.00
Re (0.000, 0.000, 0.582)  0.07

Computed properties:
Energy of formation from the pure elements ... 0.420 eV per atom
Symmetry ... No. 99

No. 11
The following is a DFT calculation (PBE) of an optimized crystal structure of KRe2As.

a b c (Å): 2.630 5.086 5.767
angles (deg): 90.00 90.00 90.00
Fractional coordinates of all 4 atoms:
As (0.500, 0.000, 0.500)
K (0.000, 0.500, 0.500)
Re (0.000, 0.000, 0.000)
Re (0.500, 0.500, 0.000)

Computed properties:
Energy of formation from the pure elements ... 1.333 eV per atom
Symmetry ... No. 47

No. 12
The following is a DFT calculation (PBE) of an optimized crystal structure of KRe2As.

a b c (Å): 4.196 3.028 7.182
angles (deg): 79.75 90.00 90.00
Fractional coordinates of all 4 atoms:
As (0.000, 0.354, 0.426)
K (0.500, 0.725, 0.728)
Re (0.000, 0.977, 0.139)
Re (0.500, 0.444, 0.206)

Computed properties:
Energy of formation from the pure elements ... 0.467 eV per atom
Symmetry ... No. 6

No. 13
The following is a DFT calculation (PBE) of an optimized crystal structure of KRe2As.

a b c (Å): 4.607 4.607 4.607
angles (deg): 119.93 119.93 90.12
Fractional coordinates of all 4 atoms:
As (0.500, 0.500, 0.000)
K (0.750, 0.250, 0.500)
Re (0.000, 0.000, 0.000)
Re (0.250, 0.750, 0.500)

Computed properties:
Energy of formation from the pure elements ... 1.220 eV per atom
Symmetry ... No. 119

No. 14
The following is a DFT calculation (PBE) of an optimized crystal structure of K2ReAs.

a b c (Å): 4.179 4.179 9.864
angles (deg): 78.64 78.64 59.95
Fractional coordinates of all 4 atoms:
As (0.209, 0.209, 0.375)
K (0.958, 0.958, 0.106)
K (0.792, 0.792, 0.644)
Re (0.542, 0.542, 0.375)

Computed properties:
Energy of formation from the pure elements ... 0.356 eV per atom
Symmetry ... No. 8

No. 15
The following is a DFT calculation (PBE) of an optimized crystal structure of K2ReAs.

a b c (Å): 5.519 4.084 4.084
angles (deg): 90.00 90.00 90.00
Last column: magnetic moment on the atom in μB.
Fractional coordinates of all 4 atoms:
As (0.500, 0.000, 0.500)  0.00
K (0.000, 0.000, 0.000)  0.00
K (0.000, 0.500, 0.500)  0.00
Re (0.500, 0.500, 0.000)  2.01

Computed properties:
Energy of formation from the pure elements ... 1.040 eV per atom
Symmetry ... No. 123

No. 16
The following is a DFT calculation (PBE) of an optimized crystal structure of K2Re2As.

a b c (Å): 10.398 10.398 2.682
angles (deg): 90.00 90.00 90.00
Fractional coordinates of all 10 atoms:
Re (0.075, 0.575, 0.500)
Re (0.575, 0.925, 0.500)
Re (0.925, 0.425, 0.500)
Re (0.425, 0.075, 0.500)
As (0.000, 0.000, 0.000)
As (0.500, 0.500, 0.000)
K (0.293, 0.793, 0.000)
K (0.793, 0.707, 0.000)
K (0.707, 0.207, 0.000)
K (0.207, 0.293, 0.000)

Computed properties:
Energy of formation from the pure elements ... 1.269 eV per atom
Symmetry ... No. 127

No. 17
The following is a DFT calculation (PBE) of an optimized crystal structure of K2ReAs.

a b c (Å): 11.653 11.653 11.653
angles (deg): 14.71 14.71 14.71
Last column: magnetic moment on the atom in μB.
Fractional coordinates of all 4 atoms:
As (0.750, 0.750, 0.750)  0.10
K (0.002, 0.002, 0.002)  0.00
K (0.498, 0.498, 0.498)  0.00
Re (0.250, 0.250, 0.250)  0.00

Computed properties:
Energy of formation from the pure elements ... 0.975 eV per atom
Symmetry ... No. 166

No. 18
The following is a DFT calculation (PBE) of an optimized crystal structure of KRe2As.

a b c (Å): 4.980 3.863 3.863
angles (deg): 90.00 90.00 90.00
Fractional coordinates of all 4 atoms:
As (0.500, 0.500, 0.000)
K (0.500, 0.000, 0.500)
Re (0.000, 0.000, 0.000)
Re (0.000, 0.500, 0.500)

Computed properties:
Energy of formation from the pure elements ... 1.518 eV per atom
Symmetry ... No. 123

No. 19
The following is a DFT calculation (PBE) of an optimized crystal structure of KRe2As.

a b c (Å): 5.703 5.703 5.703
angles (deg): 140.40 140.40 57.25
Fractional coordinates of all 4 atoms:
As (0.250, 0.750, 0.500)
K (0.750, 0.250, 0.500)
Re (0.000, 0.000, 0.000)
Re (0.500, 0.500, 0.000)

Computed properties:
Energy of formation from the pure elements ... 1.522 eV per atom
Symmetry ... No. 139

No. 20
The following is a DFT calculation (PBE) of an optimized crystal structure of KRe2As.

a b c (Å): 4.826 4.826 9.466
angles (deg): 75.23 75.23 90.00
Last column: magnetic moment on the atom in μB.
Fractional coordinates of all 8 atoms:
Re (0.915, 0.125, 0.250)  0.41
Re (0.835, 0.625, 0.250)  0.39
Re (0.375, 0.085, 0.750)  0.34
Re (0.875, 0.165, 0.750)  0.32
As (0.000, 0.000, 0.000)  -0.01
As (0.750, 0.250, 0.500)  -0.01
K (0.500, 0.500, 0.000)  0.01
K (0.250, 0.750, 0.500)  0.01

Computed properties:
Energy of formation from the pure elements ... 1.147 eV per atom
Symmetry ... No. 122